Hf2MnF | GGA+U | optimized geometry

Cell and atoms, written as CIF:
```
data_Hf2MnF
_chemical_formula_sum 'Hf8 Mn4 F4'
_symmetry_space_group_name_H-M 'F m -3 m'
_symmetry_Int_Tables_number 225
_symmetry_space_group_name_Hall '-F 4 2 3'
_cell_length_a 6.3442
_cell_length_b 6.3442
_cell_length_c 6.3442
_cell_angle_alpha 90.00
_cell_angle_beta 90.00
_cell_angle_gamma 90.00
loop_
_atom_site_label
_atom_site_fract_x
_atom_site_fract_y
_atom_site_fract_z
Hf1 0.2500 0.2500 0.2500
Mn1 0.0000 0.0000 0.0000
F1 0.0000 0.0000 0.5000
```

Energy relative to the lowest polymorph listed for this composition   0.0 kJ/mol of atoms

HfMn2F8 | GGA+U | optimized geometry

Cell and atoms, written as CIF:
```
data_HfMn2F8
_chemical_formula_sum 'Hf2 Mn4 F16'
_symmetry_space_group_name_H-M 'C 1 2/m 1'
_symmetry_Int_Tables_number 12
_cell_length_a 9.4104
_cell_length_b 7.0884
_cell_length_c 4.5522
_cell_angle_alpha 90.00
_cell_angle_beta 101.05
_cell_angle_gamma 90.00
loop_
_symmetry_equiv_pos_as_xyz
'x,y,z'
'-x,-y,-z'
'-x,y,-z'
'x,-y,z'
'x+1/2,y+1/2,z'
'-x+1/2,-y+1/2,-z'
'-x+1/2,y+1/2,-z'
'x+1/2,-y+1/2,z'
loop_
_atom_site_label
_atom_site_fract_x
_atom_site_fract_y
_atom_site_fract_z
Hf1 0.0000 0.0000 0.0000
Mn1 0.1344 0.5000 0.3165
F1 0.0944 0.5000 0.7722
F2 0.1176 0.2023 0.2440
F3 0.1491 0.0000 0.7420
```

Energy relative to the lowest polymorph listed for this composition   0.8 kJ/mol of atoms

HfMn3F | GGA+U | optimized geometry

Cell and atoms, written as CIF:
```
data_HfMn3F
_chemical_formula_sum 'Hf1 Mn3 F1'
_symmetry_space_group_name_H-M 'P m -3 m'
_symmetry_Int_Tables_number 221
_symmetry_space_group_name_Hall '-P 4 2 3'
_cell_length_a 4.5134
_cell_length_b 4.5134
_cell_length_c 4.5134
_cell_angle_alpha 90.00
_cell_angle_beta 90.00
_cell_angle_gamma 90.00
loop_
_atom_site_label
_atom_site_fract_x
_atom_site_fract_y
_atom_site_fract_z
Hf1 0.0000 0.0000 0.0000
Mn1 0.0000 0.5000 0.5000
F1 0.5000 0.5000 0.5000
```

Energy relative to the lowest polymorph listed for this composition   0.0 kJ/mol of atoms

HfMnF3 | GGA+U | optimized geometry

Cell and atoms, written as CIF:
```
data_HfMnF3
_chemical_formula_sum 'Hf1 Mn1 F3'
_symmetry_space_group_name_H-M 'P m -3 m'
_symmetry_Int_Tables_number 221
_symmetry_space_group_name_Hall '-P 4 2 3'
_cell_length_a 4.3368
_cell_length_b 4.3368
_cell_length_c 4.3368
_cell_angle_alpha 90.00
_cell_angle_beta 90.00
_cell_angle_gamma 90.00
loop_
_atom_site_label
_atom_site_fract_x
_atom_site_fract_y
_atom_site_fract_z
Hf1 0.0000 0.0000 0.0000
Mn1 0.5000 0.5000 0.5000
F1 0.0000 0.0000 0.5000
```

Energy relative to the lowest polymorph listed for this composition   0.0 kJ/mol of atoms

HfMn3F | GGA+U | optimized geometry

Cell and atoms, written as CIF:
```
data_HfMn3F
_chemical_formula_sum 'Hf1 Mn3 F1'
_symmetry_space_group_name_H-M 'P m -3 m'
_symmetry_Int_Tables_number 221
_symmetry_space_group_name_Hall '-P 4 2 3'
_cell_length_a 5.3279
_cell_length_b 5.3279
_cell_length_c 5.3279
_cell_angle_alpha 90.00
_cell_angle_beta 90.00
_cell_angle_gamma 90.00
loop_
_atom_site_label
_atom_site_fract_x
_atom_site_fract_y
_atom_site_fract_z
Hf1 0.0000 0.0000 0.0000
Mn1 0.0000 0.0000 0.5000
F1 0.5000 0.5000 0.5000
```

Energy relative to the lowest polymorph listed for this composition   117.7 kJ/mol of atoms

Hf2MnF11 | GGA+U | optimized geometry

Cell and atoms, written as CIF:
```
data_Hf2MnF11
_chemical_formula_sum 'Hf8 Mn4 F44'
_symmetry_space_group_name_H-M 'I b a m'
_symmetry_Int_Tables_number 72
_symmetry_space_group_name_Hall '-I 2 2c'
_cell_length_a 7.8325
_cell_length_b 9.8140
_cell_length_c 10.2876
_cell_angle_alpha 90.00
_cell_angle_beta 90.00
_cell_angle_gamma 90.00
loop_
_atom_site_label
_atom_site_fract_x
_atom_site_fract_y
_atom_site_fract_z
Hf1 0.1071 0.1918 0.0000
Mn1 0.0000 0.5000 0.2500
F1 0.0000 0.0000 0.0000
F2 0.0585 0.3668 0.1271
F3 0.1558 0.2110 0.5000
F4 0.2084 0.1133 0.1552
```

Number 1: E_tot -6.91 eV per atom, magnetic moment 0.0 Bohr magnetons per cell. Number 2: E_tot -6.79 eV per atom, magnetic moment 20.0 Bohr magnetons per cell. Number 3: E_tot -6.81 eV per atom, magnetic moment 12.0 Bohr magnetons per cell. Number 4: E_tot -6.50 eV per atom, magnetic moment 6.0 Bohr magnetons per cell. Number 5: E_tot -5.59 eV per atom, magnetic moment 12.0 Bohr magnetons per cell. Number 6: E_tot -6.77 eV per atom, magnetic moment 15.7 Bohr magnetons per cell.